VASP calculation (PBE) on an optimized crystal structure of SrEr4Bi5.

Calculated values
The calculation puts the formation energy at -7.8 eV per formula unit. The calculation puts the calculated volume at 327 Å³/f.u.

a b c (Å): 12.033 12.033 12.033
angles (deg): 158.52 149.14 37.91
Atoms (fractional coordinates):
1 Sr 0.000 0.000 0.000
2 Er 0.204 0.204 0.000
3 Er 0.401 0.401 0.000
4 Er 0.599 0.599 0.000
5 Er 0.796 0.796 0.000
6 Bi 0.109 0.609 0.500
7 Bi 0.302 0.802 0.500
8 Bi 0.500 0.000 0.500
9 Bi 0.698 0.198 0.500
10 Bi 0.891 0.391 0.500